Entry 1:
First-principles (GGA-PBE) data for a relaxed InBi2Pb crystal, as listed in the Alexandria database.

Computed properties:
Magnetic moment (μB/f.u.): 0.00
Calculated formation energy (eV/atom): 0.068
Crystal system: tetragonal
Density of states at the Fermi level (states/eV/atom): 0.48

Cell: 3.8983 3.8983 8.0664 Å, 90.00 90.00 90.00°
With the nearest neighbours (Å) after each atom.
Fractional coordinates of all 4 atoms:
Bi: 0.0000 0.0000 0.7434  4 In 3.38, 4 Pb 3.45
Bi: 0.0000 0.0000 0.2566  4 In 3.38, 4 Pb 3.45
In: 0.5000 0.5000 0.5000  8 Bi 3.38
Pb: 0.5000 0.5000 0.0000  8 Bi 3.45



Entry 2:
First-principles (GGA-PBE) data for a relaxed PmLuMnHg crystal, as listed in the Alexandria database.

Computed properties:
Magnetic moment (μB/f.u.): 3.04
Calculated formation energy (eV/atom): -0.059
Crystal system: cubic
Density of states at the Fermi level (states/eV/atom): 1.43

Cell: 5.1637 5.1637 5.1637 Å, 60.00 60.00 60.00°
With the nearest neighbours (Å) after each atom.
Fractional coordinates of all 4 atoms:
Mn: 0.0000 0.0000 0.0000  4 Pm 3.16, 4 Lu 3.16
Lu: 0.7500 0.7500 0.7500  4 Hg 3.16, 4 Mn 3.16
Pm: 0.2500 0.2500 0.2500  4 Mn 3.16, 4 Hg 3.16
Hg: 0.5000 0.5000 0.5000  4 Lu 3.16, 4 Pm 3.16



Entry 3:
First-principles (GGA-PBE) data for a relaxed Dy4Fe crystal, as listed in the Alexandria database.

Computed properties:
Magnetic moment (μB/f.u.): 0.00
Polymorph energy (0 for the lowest one) (meV/atom): 289
Calculated formation energy (eV/atom): 0.414
Crystal system: cubic
Density of states at the Fermi level (states/eV/atom): 0.96

Cell: 7.4133 7.4133 7.4133 Å, 60.00 60.00 60.00°
With the nearest neighbours (Å) after each atom.
Fractional coordinates of all 10 atoms:
Dy: 0.9066 0.3645 0.3645  1 Fe 2.46
Dy: 0.3645 0.9066 0.3645  1 Fe 2.46
Dy: 0.8855 0.8855 0.3434  1 Fe 2.46
Fe: 0.5000 0.5000 0.5000  4 Dy 2.46
Dy: 0.8855 0.3434 0.8855  1 Fe 2.46
Dy: 0.3645 0.3645 0.3645  1 Fe 2.46
Dy: 0.3645 0.3645 0.9066  1 Fe 2.46
Dy: 0.3434 0.8855 0.8855  1 Fe 2.46
Dy: 0.8855 0.8855 0.8855  1 Fe 2.46
Fe: 0.7500 0.7500 0.7500  4 Dy 2.46



Question: The highest calculated formation energy belongs to which entry?
Answer: Dy4Fe



Question: Among the records above, which one has the lowest calculated formation energy?
Answer: PmLuMnHg



Question: Number 2 is which compound?
Answer: PmLuMnHg